No. 1
# PrAgW2O8

PrAgW2O8 at its PBEsol-relaxed geometry (SCAN, the Alexandria database).

Unit cell a=10.197 b=11.012 c=7.300 alpha=90.00 beta=128.38 gamma=90.00
Space group C2/m (No. 12)
Unique sites:
Pr 0.000 0.196 0.000 [4 per cell]
Ag 0.197 0.000 0.518 [4 per cell]
W 0.000 0.339 0.500 [4 per cell]
W 0.213 0.500 0.978 [4 per cell]
O 0.020 0.500 0.337 [4 per cell]
O 0.053 0.240 0.362 [8 per cell]
O 0.055 0.000 0.852 [4 per cell]
O 0.177 0.374 0.097 [8 per cell]
O 0.223 0.380 0.760 [8 per cell]

Computed properties:
raw formation energy = -28.84 eV/f.u.

---

No. 2
# Ag3PtO

Ag3PtO at its PBEsol-relaxed geometry (SCAN, the Alexandria database).

Unit cell a=4.263 b=4.263 c=4.263 alpha=90.00 beta=90.00 gamma=90.00
Space group Pm-3m (No. 221)
Unique sites:
Ag 0.000 0.000 0.500 [3 per cell]
Pt 0.500 0.500 0.500 [1 per cell]
O 0.000 0.000 0.000 [1 per cell]

Computed properties:
raw formation energy = 1.29 eV/f.u.

---

No. 3
# Rb2Ag2O

Rb2Ag2O at its PBEsol-relaxed geometry (SCAN, the Alexandria database).

Unit cell a=3.680 b=3.680 c=19.223 alpha=90.00 beta=90.00 gamma=90.00
Space group I4/mmm (No. 139)
Unique sites:
Rb 0.000 0.000 0.080 [4 per cell]
Ag 0.000 0.500 0.250 [4 per cell]
O 0.000 0.000 0.500 [2 per cell]

Computed properties:
raw formation energy = -1.79 eV/f.u.

---

No. 4
# RbAgSb2O

RbAgSb2O at its PBEsol-relaxed geometry (SCAN, the Alexandria database).

Unit cell a=5.999 b=5.999 c=4.035 alpha=90.00 beta=90.00 gamma=90.00
Space group P4/mmm (No. 123)
Unique sites:
Rb 0.000 0.000 0.000 [1 per cell]
Ag 0.500 0.500 0.500 [1 per cell]
Sb 0.000 0.500 0.000 [2 per cell]
O 0.000 0.000 0.500 [1 per cell]

Computed properties:
raw formation energy = 6.38 eV/f.u.